5
Lattice="-0.646 -4.823 4.761 3.704 -2.289 -1.816 4.166 3.490 4.100" Properties=species:S:1:pos:R:3 comment="PBE Rb2BaTaRe, optimized geometry" final_energy_ry_per_atom=-0.3032 delta_e_f_mev_per_atom=1506 magmom_total_mub_per_cell=0.00 n_ef_per_ev_cell=7.91 pbc="T T T"
Ba 3.612 -1.811 3.523
Re 1.852 -1.145 -0.908
Rb 2.083 1.745 2.050
Ta 0.000 0.000 0.000
Rb -0.323 -2.411 2.381

12
Lattice="-0.850 -3.775 -6.598 6.085 -2.837 -3.595 -1.040 -7.620 1.567" Properties=species:S:1:pos:R:3 comment="PBE Ce3GePb2, optimized geometry" e_above_lowest_polymorph_mev_per_atom=0 final_energy_ry_per_atom=-0.3949 delta_e_f_mev_per_atom=-400 magmom_total_mub_per_cell=0.94 n_ef_per_ev_cell=26.21 pbc="T T T"
Ce 1.268 -7.120 -0.577
Pb -0.945 -5.697 -2.516
Pb 3.540 -6.352 -2.719
Ge 1.771 -2.208 -3.399
Ce 2.927 -7.111 -8.049
Pb 0.655 -7.880 -5.907
Ge 3.465 -4.404 -6.794
Ce -1.421 -8.635 -3.569
Ce 2.794 -9.292 -3.965
Pb 0.000 0.000 0.000
Ce -0.469 -2.760 -1.462
Ce 1.401 -4.940 -4.661

12
Lattice="-4.066 2.692 2.994 -1.745 -2.132 5.015 4.520 5.112 7.010" Properties=species:S:1:pos:R:3 comment="PBE Bi2PbAu9, optimized geometry" final_energy_ry_per_atom=-0.2531 delta_e_f_mev_per_atom=-30 magmom_total_mub_per_cell=0.00 n_ef_per_ev_cell=3.85 pbc="T T T"
Au 0.848 5.222 7.393
Bi -3.051 2.665 9.865
Au 0.645 5.485 12.349
Au -2.139 0.450 7.627
Au -0.646 2.836 7.510
Au 2.022 2.782 8.415
Bi 1.760 3.007 5.155
Au -0.035 4.144 9.929
Au -3.313 2.889 6.605
Au -1.936 0.187 2.670
Pb 0.000 0.000 0.000
Au -1.257 1.528 5.090

4
Lattice="-4.397 1.491 -2.029 0.473 -3.491 -3.588 -2.454 -3.303 2.890" Properties=species:S:1:pos:R:3 comment="PBE Pm2PrSc, optimized geometry" e_above_lowest_polymorph_mev_per_atom=0 final_energy_ry_per_atom=-0.3759 delta_e_f_mev_per_atom=38 magmom_total_mub_per_cell=0.00 n_ef_per_ev_cell=5.43 pbc="T T T"
Pm -1.227 -1.652 1.445
Sc -2.198 0.746 -1.015
Pr -3.189 -2.651 -1.364
Pm 0.236 -1.745 -1.794

5
Lattice="3.532 0.000 0.000 0.000 3.532 0.000 0.000 0.000 3.532" Properties=species:S:1:pos:R:3 comment="PBE ScN3O, optimized geometry" formation_energy_uncorrected_ev_per_atom=1.363 final_energy_ry_per_atom=-0.4329 magmom_total_mub_per_cell=0.00 n_ef_per_ev_cell=1.98 pbc="T T T"
N 0.000 1.766 0.000
N 0.000 0.000 1.766
O 0.000 0.000 0.000
Sc 1.766 1.766 1.766
N 1.766 0.000 0.000

15
Lattice="-2.080 7.649 4.588 -4.828 -0.489 7.767 3.615 1.811 7.760" Properties=species:S:1:pos:R:3 comment="PBE TbPm8Y6, optimized geometry" e_above_lowest_polymorph_mev_per_atom=0 final_energy_ry_per_atom=-0.3905 delta_e_f_mev_per_atom=115 magmom_total_mub_per_cell=0.00 n_ef_per_ev_cell=23.76 pbc="T T T"
Pm -0.277 4.352 10.901
Y -2.330 8.133 16.842
Y -1.164 4.286 4.143
Pm -0.518 6.189 7.421
Pm -3.506 6.152 12.271
Pm 0.212 2.819 7.845
Pm -3.017 4.619 9.215
Y -2.130 4.685 15.973
Tb 0.000 0.000 0.000
Y -0.964 0.838 3.274
Pm -2.341 1.254 9.605
Pm -0.953 7.717 10.511
Y -0.608 7.138 13.887
Pm -2.776 2.781 12.694
Y -2.686 1.832 6.228

12
Lattice="-5.040 -0.627 -0.693 -0.501 -1.394 4.907 -2.367 14.677 3.927" Properties=species:S:1:pos:R:3 comment="PBE Tb2Pm9Dy, optimized geometry" final_energy_ry_per_atom=-0.3456 delta_e_f_mev_per_atom=16 magmom_total_mub_per_cell=0.00 n_ef_per_ev_cell=19.65 pbc="T T T"
Pm -2.771 -1.011 2.107
Dy 0.000 0.000 0.000
Pm -2.224 11.537 5.727
Pm -3.704 7.025 1.617
Pm -4.349 8.775 4.725
Pm -1.434 6.642 4.417
Tb -1.579 9.787 2.619
Pm -3.559 3.881 3.416
Tb -0.789 4.890 1.308
Pm -2.914 2.130 0.307
Pm -0.645 1.747 3.107
Pm -4.493 11.920 2.927

5
Lattice="4.274 0.000 0.000 0.000 4.274 0.000 0.000 0.000 4.274" Properties=species:S:1:pos:R:3 comment="PBE LaCu3H, optimized geometry" e_above_lowest_polymorph_mev_per_atom=0 final_energy_ry_per_atom=-0.2787 magmom_total_mub_per_cell=0.00 n_ef_per_ev_cell=2.37 pbc="T T T"
Cu 0.000 2.137 0.000
H 0.000 0.000 0.000
Cu 0.000 0.000 2.137
Cu 2.137 0.000 0.000
La 2.137 2.137 2.137

4
Lattice="5.456 0.000 0.000 2.728 4.725 0.000 2.728 1.575 4.455" Properties=species:S:1:pos:R:3 comment="PBE BaLaZnCu, optimized geometry" final_energy_ry_per_atom=-0.2271 delta_e_f_mev_per_atom=-35 magmom_total_mub_per_cell=0.00 n_ef_per_ev_cell=3.05 pbc="T T T"
La 0.000 0.000 0.000
Ba 5.456 3.150 2.228
Zn 8.184 4.725 3.341
Cu 2.728 1.575 1.114

4
Lattice="-3.681 -0.223 0.005 0.010 -0.248 -3.679 0.450 -7.433 0.503" Properties=species:S:1:pos:R:3 comment="PBE BaDyCu2, optimized geometry" final_energy_ry_per_atom=-0.2765 delta_e_f_mev_per_atom=-83 magmom_total_mub_per_cell=0.00 n_ef_per_ev_cell=3.20 pbc="T T T"
Cu 0.369 -6.088 0.412
Cu 0.081 -1.345 0.091
Dy -1.835 -0.235 -1.837
Ba -1.610 -3.952 -1.586

4
Lattice="-2.649 0.503 1.299 -0.092 -2.848 0.916 2.912 1.614 5.311" Properties=species:S:1:pos:R:3 comment="PBE MgNiRu2, optimized geometry" final_energy_ry_per_atom=-0.4618 delta_e_f_mev_per_atom=199 magmom_total_mub_per_cell=0.00 n_ef_per_ev_cell=3.85 pbc="T T T"
Mg -0.642 -0.769 2.435
Ru 1.555 0.862 2.836
Ni 0.814 0.038 5.091
Ru 2.813 1.559 5.131

4
Lattice="0.000 3.106 3.106 3.106 0.000 3.106 3.106 3.106 0.000" Properties=species:S:1:pos:R:3 comment="PBE TaTlCo2, optimized geometry" e_above_lowest_polymorph_mev_per_atom=77 final_energy_ry_per_atom=-0.5089 delta_e_f_mev_per_atom=184 magmom_total_mub_per_cell=2.00 n_ef_per_ev_cell=1.05 pbc="T T T"
Co 1.553 1.553 1.553
Ta 0.000 0.000 0.000
Co 4.659 4.659 4.659
Tl 3.106 3.106 3.106

4
Lattice="5.352 0.000 0.005 4.160 3.367 0.005 -0.003 -0.001 4.027" Properties=species:S:1:pos:R:3 comment="PBE MgRhSe2, optimized geometry" formation_energy_uncorrected_ev_per_atom=-0.505 final_energy_ry_per_atom=-0.3295 magmom_total_mub_per_cell=0.00 n_ef_per_ev_cell=1.53 pbc="T T T"
Se 9.302 3.292 3.533
Se 2.481 0.878 1.514
Rh 6.958 2.463 3.531
Mg 5.032 1.781 1.515

8
Lattice="6.292 0.000 0.000 0.000 6.292 0.000 3.146 3.146 7.901" Properties=species:S:1:pos:R:3 comment="PBE InBi2Se, optimized geometry" formation_energy_uncorrected_ev_per_atom=0.119 e_above_lowest_polymorph_mev_per_atom=25 final_energy_ry_per_atom=-0.2482 magmom_total_mub_per_cell=0.00 n_ef_per_ev_cell=3.41 pbc="T T T"
Bi 7.865 7.720 5.926
Se 3.146 6.292 3.951
Bi 4.719 4.864 5.926
In 6.292 3.146 3.951
Bi 4.574 1.573 1.975
In 0.000 0.000 0.000
Se 3.146 3.146 0.000
Bi 1.718 4.719 1.975

10
Lattice="-1.992 -1.370 4.153 0.116 -4.579 -1.455 10.329 -1.987 7.079" Properties=species:S:1:pos:R:3 comment="PBE Dy3TmIn, optimized geometry" e_above_lowest_polymorph_mev_per_atom=0 final_energy_ry_per_atom=-0.3227 delta_e_f_mev_per_atom=-188 magmom_total_mub_per_cell=0.00 n_ef_per_ev_cell=10.97 pbc="T T T"
Dy 4.054 -2.926 5.562
In 1.896 -4.960 3.856
Dy 8.573 -3.445 7.558
In 5.265 -3.864 8.614
Dy -0.420 -2.411 3.586
Dy 0.580 -4.009 0.758
Tm 2.785 -1.980 2.485
Dy 5.100 -4.529 2.754
Tm 6.368 -5.474 5.831
Dy 7.582 -6.414 8.884

5
Lattice="4.992 0.000 0.000 0.000 5.234 0.000 0.000 0.000 4.992" Properties=species:S:1:pos:R:3 comment="PBE BaLiNbSn2, optimized geometry" final_energy_ry_per_atom=-0.2735 delta_e_f_mev_per_atom=661 magmom_total_mub_per_cell=0.00 n_ef_per_ev_cell=5.59 pbc="T T T"
Ba 0.000 2.617 0.000
Sn 2.496 0.000 0.000
Li 0.000 0.000 0.000
Nb 2.496 2.617 2.496
Sn 0.000 0.000 2.496

8
Lattice="-4.123 -0.473 0.777 1.127 -6.995 1.725 1.409 -0.499 7.174" Properties=species:S:1:pos:R:3 comment="PBE Sm4SiAs2Br, optimized geometry" formation_energy_uncorrected_ev_per_atom=-1.295 final_energy_ry_per_atom=-0.4192 magmom_total_mub_per_cell=0.00 n_ef_per_ev_cell=2.10 pbc="T T T"
As -1.357 -0.486 3.975
Sm 1.891 -5.717 6.553
Sm -0.847 -5.633 3.547
Sm -0.739 -2.333 6.129
Sm -3.477 -2.250 3.123
Br -1.498 -3.734 1.251
Si 1.268 -3.747 4.449
As 1.409 -0.499 7.174

4
Lattice="-2.801 -0.523 0.873 0.208 -2.977 -1.115 1.742 -1.611 4.625" Properties=species:S:1:pos:R:3 comment="PBE CuNi2As, optimized geometry" final_energy_ry_per_atom=-0.3768 delta_e_f_mev_per_atom=-50 magmom_total_mub_per_cell=0.00 n_ef_per_ev_cell=2.02 pbc="T T T"
Ni 0.868 -0.803 2.306
Ni 0.003 -0.002 0.007
As -0.861 -2.153 1.035
Cu 0.010 -2.958 3.348

20
Lattice="7.482 0.000 0.000 0.000 6.362 0.000 0.000 0.000 9.926" Properties=species:S:1:pos:R:3 comment="PBE Ce5Si4Os, optimized geometry" formation_energy_uncorrected_ev_per_atom=-0.246 final_energy_ry_per_atom=-0.4781 magmom_total_mub_per_cell=1.06 n_ef_per_ev_cell=36.69 pbc="T T T"
Ce 2.426 1.771 2.022
Ce 2.426 4.591 2.022
Si 2.981 4.407 4.963
Si 2.981 1.954 4.963
Os 6.579 0.000 0.000
Ce 5.055 1.410 2.941
Ce 5.055 1.410 6.985
Si 7.430 3.181 2.835
Si 0.052 0.000 7.798
Si 4.501 1.226 0.000
Si 4.501 5.135 0.000
Ce 0.663 0.000 4.963
Ce 2.426 4.591 7.904
Ce 5.055 4.951 2.941
Ce 2.426 1.771 7.904
Ce 6.819 3.181 0.000
Ce 5.055 4.951 6.985
Si 0.052 0.000 2.128
Si 7.430 3.181 7.091
Os 0.903 3.181 4.963

16
Lattice="-2.596 -4.232 6.122 6.950 0.941 3.598 -4.463 7.296 -1.923" Properties=species:S:1:pos:R:3 comment="PBE AcSm2Se5, optimized geometry" formation_energy_uncorrected_ev_per_atom=-1.748 final_energy_ry_per_atom=-0.4130 magmom_total_mub_per_cell=0.00 n_ef_per_ev_cell=11.17 pbc="T T T"
Se 2.177 -1.646 4.860
Se -3.585 2.408 3.684
Sm 1.982 -0.338 2.194
Se 3.551 -0.333 7.885
Se 0.327 5.645 0.502
Se 0.000 0.000 0.000
Se -0.512 0.290 3.524
Se 3.476 1.597 4.113
Ac 1.034 1.180 6.329
Sm -0.617 -2.631 4.581
Se -3.660 4.338 -0.088
Sm 2.372 -2.953 7.526
Se -0.437 -1.640 7.295
Se 0.402 3.715 4.274
Sm 4.971 -0.660 5.139
Ac -1.143 2.825 1.469